The following is a SCAN calculation of a crystal of Li2ScSi relaxed with PBEsol, from the Alexandria database.

Output
The calculation puts the total magnetization at 0.49 Bohr magnetons per cell. The formation energy from raw total energies comes out at -0.15 eV/atom. As for the symmetry: Pmm2 (25). The calculation puts the theoretical density at 2.047 g/cm3.

Cell: 2.8873 3.9482 6.1868 Å, 90.00 90.00 90.00°
Closest atoms and distances in Å follow each position.
Positions (direct):
Li 0.0000 0.0000 0.0000  1 Sc 2.77, 6 Li 2.82-2.89, 4 Si 2.84
Li 0.5000 0.5000 0.2278  6 Li 2.82-2.89, 1 Si 2.86
Sc 0.0000 0.0000 0.5520  1 Li 2.77, 4 Si 2.78, 2 Sc 2.89
Si 0.5000 0.5000 0.7656  4 Sc 2.78, 5 Li 2.84-2.86, 2 Si 2.89

***

The following is a SCAN calculation of a crystal of HgPb2 relaxed with PBEsol, from the Alexandria database.

Output
The calculation puts the formation energy at 30 meV/atom. The calculation puts the total magnetization at 0.00 Bohr magnetons per cell. As for the symmetry: P-3m1 (164). The calculation puts the theoretical density at 12.353 g/cm3.

Cell: 5.3553 5.3553 3.3286 Å, 90.00 90.00 120.00°
Closest atoms and distances in Å follow each position.
Positions (direct):
Hg 0.0000 0.0000 0.0000  6 Pb 3.22, 2 Hg 3.33
Pb 0.3333 0.6667 0.7348  3 Hg 3.22, 8 Pb 3.33-3.56
Pb 0.6667 0.3333 0.2652  3 Hg 3.22, 8 Pb 3.33-3.56

***

The following is a SCAN calculation of a crystal of IrCNF2 relaxed with PBEsol, from the Alexandria database.

Output
The calculation puts the total magnetization at 1.41 Bohr magnetons per cell. The formation energy from raw total energies comes out at 1.10 eV/atom. As for the symmetry: P4/mmm (123). The calculation puts the theoretical density at 6.704 g/cm3.

Cell: 4.1565 4.1565 3.6738 Å, 90.00 90.00 90.00°
Closest atoms and distances in Å follow each position.
Positions (direct):
Ir 0.0000 0.0000 0.0000  2 N 1.84
C 0.5000 0.5000 0.5000  8 F 2.77, 4 N 2.94
N 0.0000 0.0000 0.5000  2 Ir 1.84
F 0.0000 0.5000 0.0000  2 Ir 2.08
F 0.5000 0.0000 0.0000  2 Ir 2.08

***

The following is a SCAN calculation of a crystal of Be2AlS relaxed with PBEsol, from the Alexandria database.

Output
The calculation puts the total magnetization at 0.00 Bohr magnetons per cell. The formation energy from raw total energies comes out at 0.07 eV/atom. As for the symmetry: I-42d (122). The calculation puts the theoretical density at 1.961 g/cm3.

Cell: 5.5057 5.5057 8.6141 Å, 90.00 90.00 90.00°
Closest atoms and distances in Å follow each position.
Positions (direct):
Be 0.1945 0.7500 0.1250  2 S 2.05
Be 0.2500 0.1945 0.8750  2 S 2.05
Be 0.2500 0.3055 0.3750  2 S 2.05
Be 0.3055 0.7500 0.6250  2 S 2.05
Be 0.6945 0.2500 0.6250  2 S 2.05
Be 0.7500 0.6945 0.3750  2 S 2.05
Be 0.7500 0.8055 0.8750  2 S 2.05
Be 0.8055 0.2500 0.1250  2 S 2.05
Al 0.0000 0.0000 0.5000  4 Be 2.43
Al 0.0000 0.5000 0.7500  4 Be 2.43
Al 0.5000 0.0000 0.2500  4 Be 2.43
Al 0.5000 0.5000 0.0000  4 Be 2.43
S 0.0000 0.0000 0.0000  4 Be 2.05
S 0.0000 0.5000 0.2500  4 Be 2.05
S 0.5000 0.0000 0.7500  4 Be 2.05
S 0.5000 0.5000 0.5000  4 Be 2.05

***

The following is a SCAN calculation of a crystal of BeRe2Ir relaxed with PBEsol, from the Alexandria database.

Output
The calculation puts the formation energy at 47 meV/atom. The calculation puts the total magnetization at 0.00 Bohr magnetons per cell. As for the symmetry: Cmmm (65). The calculation puts the theoretical density at 17.684 g/cm3.

Cell: 4.9612 8.0708 2.6906 Å, 90.00 90.00 90.00°
Closest atoms and distances in Å follow each position.
Positions (direct):
Be 0.0000 0.0000 0.0000  2 Ir 2.48, 2 Be 2.69, 8 Re 2.72
Be 0.5000 0.5000 0.0000  2 Ir 2.48, 2 Be 2.69, 8 Re 2.72
Re 0.2500 0.2500 0.5000  4 Re 2.48-2.69, 4 Be 2.72, 4 Ir 2.72
Re 0.2500 0.7500 0.5000  4 Re 2.48-2.69, 4 Be 2.72, 4 Ir 2.72
Re 0.7500 0.2500 0.5000  4 Re 2.48-2.69, 4 Be 2.72, 4 Ir 2.72
Re 0.7500 0.7500 0.5000  4 Re 2.48-2.69, 4 Be 2.72, 4 Ir 2.72
Ir 0.0000 0.5000 0.0000  2 Be 2.48, 2 Ir 2.69, 8 Re 2.72
Ir 0.5000 0.0000 0.0000  2 Be 2.48, 2 Ir 2.69, 8 Re 2.72

***

The following is a SCAN calculation of a crystal of Al2InMo relaxed with PBEsol, from the Alexandria database.

Output
The calculation puts the formation energy at 138 meV/atom. The calculation puts the total magnetization at 0.00 Bohr magnetons per cell. As for the symmetry: C2/m (12). The calculation puts the theoretical density at 6.521 g/cm3.

Cell: 5.6001 8.8242 2.8746 Å, 90.00 108.36 90.00°
Closest atoms and distances in Å follow each position.
Positions (direct):
Al 0.2500 0.2500 0.0000  2 In 2.76, 2 Mo 2.76, 4 Al 2.80-2.87
Al 0.2500 0.7500 0.0000  2 In 2.76, 2 Mo 2.76, 4 Al 2.80-2.87
Al 0.7500 0.2500 0.0000  2 In 2.76, 2 Mo 2.76, 4 Al 2.80-2.87
Al 0.7500 0.7500 0.0000  2 In 2.76, 2 Mo 2.76, 4 Al 2.80-2.87
In 0.0000 0.0000 0.5000  4 Al 2.76, 2 Mo 2.80, 2 In 2.87
In 0.5000 0.5000 0.5000  4 Al 2.76, 2 Mo 2.80, 2 In 2.87
Mo 0.0000 0.5000 0.5000  4 Al 2.76, 2 In 2.80, 2 Mo 2.87
Mo 0.5000 0.0000 0.5000  4 Al 2.76, 2 In 2.80, 2 Mo 2.87